# 1
# NdYSi2Pt5

An optimized crystal structure of NdYSi2Pt5 (PBE-GGA, Alexandria).

Output
Magnetization: 0.0 μB/f.u.
Space group: P4/mmm

Geometry as POSCAR:
```
NdYSi2Pt5
1.0
-2.770 2.928 1.311
-2.739 -3.060 1.048
3.550 -0.343 8.270
Nd Y Si Pt
1 1 2 5
Direct
0.000 0.000 0.500
0.000 0.000 0.000
0.500 0.500 0.131
0.500 0.500 0.869
0.000 0.500 0.259
0.500 0.000 0.259
0.000 0.500 0.741
0.500 0.000 0.741
0.500 0.500 0.500
```



# 2
# Nd2YSi3Pt4

An optimized crystal structure of Nd2YSi3Pt4 (PBE-GGA, Alexandria).

Output
Magnetization: 0.0 μB/f.u.
Space group: P-4m2

Geometry as POSCAR:
```
Nd2YSi3Pt4
1.0
-3.080 2.743 1.146
-1.844 -0.468 -3.835
-5.918 -8.253 3.854
Nd Y Si Pt
2 1 3 4
Direct
0.500 0.000 0.226
0.000 0.500 0.774
0.500 0.500 0.500
0.000 0.000 0.500
0.500 0.000 0.882
0.000 0.500 0.118
0.500 0.500 0.000
0.000 0.000 0.000
0.500 0.000 0.662
0.000 0.500 0.338
```



# 3
# NdZn2SiPt4

An optimized crystal structure of NdZn2SiPt4 (PBE-GGA, Alexandria).

Output
Magnetization: 0.0 μB/f.u.
Space group: R-3m

Geometry as POSCAR:
```
NdZn2SiPt4
1.0
-3.265 2.628 -1.077
-3.395 0.431 2.649
1.715 7.540 4.506
Nd Zn Si Pt
1 2 1 4
Direct
0.000 0.000 0.000
0.752 0.752 0.744
0.248 0.248 0.256
0.500 0.500 0.500
0.407 0.407 0.780
0.862 0.862 0.413
0.138 0.138 0.587
0.593 0.593 0.220
```



# 4
# NdZnSi2Pt2

An optimized crystal structure of NdZnSi2Pt2 (PBE-GGA, Alexandria).

Output
Magnetization: 0.0 μB/f.u.
Space group: P-3m1

Geometry as POSCAR:
```
NdZnSi2Pt2
1.0
-2.946 2.335 -1.910
0.738 -3.942 -1.304
-4.790 -2.379 4.480
Nd Zn Si Pt
1 1 2 2
Direct
0.000 0.000 0.000
0.000 0.000 0.500
0.667 0.333 0.286
0.333 0.667 0.714
0.667 0.333 0.676
0.333 0.667 0.324
```



One value per record, in order, for VASP energy: -6.853, -6.693, -5.353, -5.649 eV/atom.